This record from the Alexandria database describes a relaxed Pa3Ga5O12 crystal. The functional is PBE.

Unit cell a=11.1280 b=11.1280 c=11.1280 alpha=109.47 beta=109.47 gamma=109.47
With the nearest neighbours (Å) after each atom.
Fractional coordinates of all 80 atoms:
Pa: 0.7500 0.3750 0.1250  8 O 2.41-2.48
Pa: 0.8750 0.7500 0.1250  8 O 2.41-2.48
Pa: 0.3750 0.7500 0.6250  8 O 2.41-2.48
Pa: 0.2500 0.1250 0.3750  8 O 2.41-2.48
Pa: 0.8750 0.1250 0.2500  8 O 2.41-2.48
Pa: 0.3750 0.6250 0.2500  8 O 2.41-2.48
Pa: 0.6250 0.3750 0.7500  8 O 2.41-2.48
Pa: 0.1250 0.8750 0.7500  8 O 2.41-2.48
Pa: 0.7500 0.8750 0.6250  8 O 2.41-2.48
Pa: 0.6250 0.2500 0.3750  8 O 2.41-2.48
Pa: 0.1250 0.2500 0.8750  8 O 2.41-2.48
Pa: 0.2500 0.6250 0.8750  8 O 2.41-2.48
Ga: 0.1250 0.3750 0.2500  4 O 1.90
Ga: 0.0000 0.5000 0.0000  6 O 2.22
Ga: 0.0000 0.0000 0.0000  6 O 2.22
Ga: 0.3750 0.2500 0.1250  4 O 1.90
Ga: 0.5000 0.0000 0.5000  6 O 2.22
Ga: 0.5000 0.5000 0.0000  6 O 2.22
Ga: 0.1250 0.7500 0.3750  4 O 1.90
Ga: 0.7500 0.1250 0.8750  4 O 1.90
Ga: 0.7500 0.6250 0.3750  4 O 1.90
Ga: 0.3750 0.1250 0.7500  4 O 1.90
Ga: 0.6250 0.8750 0.2500  4 O 1.90
Ga: 0.5000 0.5000 0.5000  6 O 2.22
Ga: 0.5000 0.0000 0.0000  6 O 2.22
Ga: 0.0000 0.0000 0.5000  6 O 2.22
Ga: 0.2500 0.3750 0.6250  4 O 1.90
Ga: 0.2500 0.8750 0.1250  4 O 1.90
Ga: 0.0000 0.5000 0.5000  6 O 2.22
Ga: 0.8750 0.2500 0.6250  4 O 1.90
Ga: 0.6250 0.7500 0.8750  4 O 1.90
Ga: 0.8750 0.6250 0.7500  4 O 1.90
O: 0.7207 0.1318 0.0351  1 Ga 1.90
O: 0.3144 0.5351 0.4033  1 Ga 1.90
O: 0.9649 0.3682 0.2793  1 Ga 1.90
O: 0.5351 0.2207 0.1318  1 Ga 1.90
O: 0.5890 0.7207 0.6856  1 Ga 1.90
O: 0.9649 0.5967 0.1856  1 Ga 1.90
O: 0.3144 0.7793 0.4110  1 Ga 1.90
O: 0.0967 0.9110 0.1318  1 Ga 1.90
O: 0.5967 0.9649 0.6856  1 Ga 1.90
O: 0.7207 0.5890 0.1856  1 Ga 1.90
O: 0.7793 0.4649 0.3682  1 Ga 1.90
O: 0.8144 0.9033 0.0351  1 Ga 1.90
O: 0.1318 0.7207 0.5351  1 Ga 1.90
O: 0.3682 0.4033 0.0890  1 Ga 1.90
O: 0.0890 0.9033 0.3682  1 Ga 1.90
O: 0.4110 0.1318 0.5967  1 Ga 1.90
O: 0.0890 0.1856 0.2207  1 Ga 1.90
O: 0.4649 0.6856 0.0967  1 Ga 1.90
O: 0.8144 0.9110 0.2793  1 Ga 1.90
O: 0.1318 0.4110 0.0967  1 Ga 1.90
O: 0.3682 0.9649 0.7793  1 Ga 1.90
O: 0.5967 0.6318 0.4110  1 Ga 1.90
O: 0.9033 0.8144 0.5351  1 Ga 1.90
O: 0.7793 0.3144 0.9110  1 Ga 1.90
O: 0.4033 0.3682 0.5890  1 Ga 1.90
O: 0.0967 0.1856 0.4649  1 Ga 1.90
O: 0.2207 0.6856 0.0890  1 Ga 1.90
O: 0.1856 0.0890 0.7207  1 Ga 1.90
O: 0.6318 0.0351 0.2207  1 Ga 1.90
O: 0.8682 0.5890 0.9033  1 Ga 1.90
O: 0.5351 0.3144 0.9033  1 Ga 1.90
O: 0.5890 0.8682 0.4033  1 Ga 1.90
O: 0.9110 0.8144 0.7793  1 Ga 1.90
O: 0.9110 0.0967 0.6318  1 Ga 1.90
O: 0.8682 0.2793 0.4649  1 Ga 1.90
O: 0.1856 0.0967 0.9649  1 Ga 1.90
O: 0.6318 0.5967 0.9110  1 Ga 1.90
O: 0.4033 0.0351 0.3144  1 Ga 1.90
O: 0.2793 0.4110 0.8144  1 Ga 1.90
O: 0.2207 0.5351 0.6318  1 Ga 1.90
O: 0.9033 0.0890 0.8682  1 Ga 1.90
O: 0.6856 0.2207 0.5890  1 Ga 1.90
O: 0.4649 0.7793 0.8682  1 Ga 1.90
O: 0.0351 0.4033 0.8144  1 Ga 1.90
O: 0.4110 0.2793 0.3144  1 Ga 1.90
O: 0.0351 0.6318 0.7207  1 Ga 1.90
O: 0.6856 0.4649 0.5967  1 Ga 1.90
O: 0.2793 0.8682 0.9649  1 Ga 1.90

## Properties
As for the total magnetic moment: 13.0 Bohr magnetons per cell. The total energy comes out at -589.61 eV/cell.